No. 1
# InAsS2O, optimized geometry, DFT PBE-GGA
data_InAsS2O
_cell_length_a 4.390
_cell_length_b 4.390
_cell_length_c 4.480
_cell_angle_alpha 90.00
_cell_angle_beta 90.00
_cell_angle_gamma 90.00
_symmetry_space_group_name_H-M 'P 4/m m m'
_symmetry_Int_Tables_number 123
_symmetry_space_group_name_Hall '-P 4 2'
loop_
_atom_site_label
_atom_site_fract_x
_atom_site_fract_y
_atom_site_fract_z
In1 0.000 0.000 0.000
As1 0.500 0.500 0.000
S1 0.000 0.500 0.500
O1 0.500 0.500 0.500
# Uncorrected formation energy, eV per atom: 0.440
# Calculated volume, Å³ per atom: 17.3

=====

No. 2
# Ce2Ga3Cu4Ge, optimized geometry, DFT PBE-GGA
data_Ce2Ga3Cu4Ge
_cell_length_a 4.240
_cell_length_b 4.240
_cell_length_c 9.894
_cell_angle_alpha 90.00
_cell_angle_beta 90.00
_cell_angle_gamma 90.00
_symmetry_space_group_name_H-M 'P -4 m 2'
_symmetry_Int_Tables_number 115
loop_
_symmetry_equiv_pos_as_xyz
'x,y,z'
'y,-x,-z'
'-x,-y,z'
'-y,x,-z'
'-x,y,z'
'-y,-x,-z'
'x,-y,z'
'y,x,-z'
loop_
_atom_site_label
_atom_site_fract_x
_atom_site_fract_y
_atom_site_fract_z
Ce1 0.000 0.500 0.247
Ga1 0.000 0.500 0.871
Ga2 0.500 0.500 0.500
Cu1 0.000 0.000 0.000
Cu2 0.000 0.500 0.629
Cu3 0.500 0.500 0.000
Ge1 0.000 0.000 0.500
# Formation energy, kJ/mol of formula units: -391
# Calculated volume, Å³ per atom: 17.8

=====

No. 3
# Si2SnSbF, optimized geometry, DFT PBE-GGA
data_Si2SnSbF
_cell_length_a 5.184
_cell_length_b 5.184
_cell_length_c 5.719
_cell_angle_alpha 90.00
_cell_angle_beta 90.00
_cell_angle_gamma 90.00
_symmetry_space_group_name_H-M 'P 4/m m m'
_symmetry_Int_Tables_number 123
_symmetry_space_group_name_Hall '-P 4 2'
loop_
_atom_site_label
_atom_site_fract_x
_atom_site_fract_y
_atom_site_fract_z
Si1 0.000 0.500 0.000
Sn1 0.000 0.000 0.000
Sb1 0.000 0.000 0.500
F1 0.500 0.500 0.500
# Uncorrected formation energy, eV per atom: 0.911
# Calculated volume, Å³ per atom: 30.7